{
  "formula": "PaSi2IrW",
  "functional": "GGA-PBE",
  "state": "optimized geometry",
  "m_tot_mub_per_fu": 0.0,
  "e_form_raw_mev_per_atom": -560,
  "lattice": [[-2.090, 2.090, 4.958], [2.090, -2.090, 4.958], [2.090, 2.090, -4.958]],
  "species": ["Pa", "Si", "Si", "Ir", "W"],
  "frac_coords": [[0.000, 0.000, 0.000], [0.380, 0.380, 0.000], [0.620, 0.620, 0.000], [0.250, 0.750, 0.500], [0.750, 0.250, 0.500]]
}